PBE-GGA TlVAg2Ru, relaxed; DOS(E_F) = 12.4 states/eV/f.u.; mass density = 8.26 Mg/m³; symmetry = No. 123; polymorph energy (0 for the lowest one) = 189.0 meV/atom; ΔE_f = 1.788 eV per atom; total DFT energy (no corrections) = -0.129 Ha/atom
1.0
-1.438 2.698 3.654
-4.409 0.839 -2.354
-1.858 -3.847 2.109
Ru Tl Ag V
1 1 2 1
Direct
0.500 0.500 0.500
0.000 0.500 0.000
0.000 0.000 0.500
0.500 0.000 0.000
0.000 0.000 0.000